A plane-wave DFT calculation with PBE was carried out for an optimized crystal structure of Li3GaPd.

a b c (Å): 4.2970 4.3318 5.1760
angles (deg): 66.17 66.03 60.74
Atoms (fractional coordinates):
Li (0.0000, 0.0000, 0.0000)
Li (0.1951, 0.1961, 0.4144)
Li (0.5987, 0.6000, 0.2029)
Ga (0.4094, 0.4058, 0.7752)
Pd (0.7893, 0.7917, 0.6315)

Calculated values
**Final energy**: -3.226 eV/atom
**ΔE to the lowest computed polymorph**: 0.000 eV per atom
**ΔE_f**: -0.434 eV per atom